## Ba2VAsO6 (GGA+U)

Data for a relaxed Ba2VAsO6 crystal.

Cell and atoms, written as CIF:
```
data_Ba2VAsO6
_cell_length_a 5.8779
_cell_length_b 5.8779
_cell_length_c 28.6372
_cell_angle_alpha 90.00
_cell_angle_beta 90.00
_cell_angle_gamma 120.00
_symmetry_space_group_name_H-M 'R -3 m'
_symmetry_Int_Tables_number 166
_symmetry_space_group_name_Hall '-R 3 2"'
loop_
_atom_site_label
_atom_site_type_symbol
_atom_site_fract_x
_atom_site_fract_y
_atom_site_fract_z
Ba1 Ba 0.0000 0.0000 0.1288
Ba2 Ba 0.0000 0.0000 0.2849
V1 V 0.0000 0.0000 0.4075
As1 As 0.0000 0.0000 0.0000
As2 As 0.0000 0.0000 0.5000
O1 O 0.0082 0.5041 0.2901
O2 O 0.0414 0.5207 0.1263
```

Values from the calculation:
Uncorrected energy ... -6.732 eV per atom
Volume ... 14.28 Å³/atom